TlAgW2: optimized geometry, GGA-PBE.

The volume is 17.77 Å³ per atom. The formation energy from the elements comes out at 3.746 eV per formula unit.

The structure belongs to space group I-4m2 (No. 119); the cell edges are 4.201, 4.201 and 8.056 Å and the angles 90.00°, 90.00° and 90.00°. The distinct sites, in fractional coordinates, are Tl at (0.000, 0.000, 0.000), Ag at (0.000, 0.500, 0.250), W at (0.000, 0.000, 0.500) and W at (0.000, 0.500, 0.750).